Record 1
Ho2P2Rh5 | PBE | optimized geometry

abc: 4.1029 4.1029 8.6620
angles: 90.00 90.00 90.00
Closest atoms and distances in Å follow each position.
Positions (direct):
Ho 0.0000 0.0000 0.0000  8 Rh 3.03, 8 P 3.14
Ho 0.0000 0.0000 0.5000  12 Rh 2.90-2.94
Rh 0.5000 0.0000 0.7433  2 P 2.29
Rh 0.0000 0.5000 0.2567  2 P 2.29
Rh 0.5000 0.0000 0.2567  2 P 2.29
Rh 0.5000 0.5000 0.5000  4 Ho 2.90, 8 Rh 2.94, 2 P 3.14
Rh 0.0000 0.5000 0.7433  2 P 2.29
P 0.5000 0.5000 0.8619  4 Rh 2.29, 1 P 2.39
P 0.5000 0.5000 0.1381  4 Rh 2.29, 1 P 2.39

Computed properties:
Space group   No. 123
ρ   10.32 Mg/m³
Total DFT energy (no corrections)   -7.313 eV/atom
Energy of formation   -1009 meV per atom
Magnetization   0.0 μB per cell

=====

Record 2
HoP3Rh6 | PBE | optimized geometry

abc: 5.6142 5.7438 6.9606
angles: 104.08 112.31 118.96
Closest atoms and distances in Å follow each position.
Positions (direct):
P 0.3305 0.6538 0.9843  6 Rh 2.27-2.35
P 0.2960 0.2371 0.3581  5 Rh 2.33-2.45
P 0.6412 0.3170 0.9809  6 Rh 2.27-2.35
Rh 0.7484 0.3116 0.6908  3 P 2.31-2.45
Rh 0.7959 0.1663 0.2435  3 P 2.27-2.39
Rh 0.2329 0.2753 0.6823  3 P 2.28-2.39
Rh 0.6240 0.5880 0.2816  3 P 2.33-2.35
Rh 0.1962 0.7593 0.2452  3 P 2.28-2.36
Rh 0.2613 0.7913 0.6935  2 P 2.29-2.31
Ho 0.8736 0.9003 0.8398  2 P 2.84-3.14, 7 Rh 2.86-3.15

Computed properties:
Space group   No. 1
ρ   9.42 Mg/m³
Total DFT energy (no corrections)   -7.271 eV/atom
Energy of formation   -780 meV per atom
Magnetization   0.0 μB per cell

=====

Record 3
Ho2P3Rh5 | PBE | optimized geometry

abc: 4.0289 6.4967 12.2339
angles: 90.00 99.48 90.00
Closest atoms and distances in Å follow each position.
Positions (direct):
Rh 0.3029 0.8930 0.6057  3 P 2.29-2.50
Rh 0.6971 0.3930 0.3943  3 P 2.29-2.50
Rh 0.2728 0.4887 0.5457  3 P 2.36-2.38
Rh 0.9415 0.1176 0.8830  4 P 2.43-2.68
Rh 0.8781 0.7326 0.7561  2 P 2.40
Rh 0.5959 0.9071 0.1918  3 P 2.39-2.44
Rh 0.0585 0.6176 0.1170  4 P 2.43-2.68
Rh 0.4041 0.4071 0.8082  3 P 2.39-2.44
Rh 0.7272 0.9887 0.4543  3 P 2.36-2.38
Rh 0.1219 0.2326 0.2439  2 P 2.40
P 0.6105 0.5359 0.2210  4 Rh 2.29-2.44
P 0.2206 0.1812 0.4413  6 Rh 2.36-2.50
P 0.3895 0.0359 0.7790  4 Rh 2.29-2.44
P 0.9528 0.4893 0.9056  4 Rh 2.39-2.43
P 0.0472 0.9893 0.0944  4 Rh 2.39-2.43
P 0.7794 0.6812 0.5587  6 Rh 2.36-2.50
Ho 0.1766 0.7382 0.3531  8 Rh 2.83-3.06, 3 P 2.89-3.07
Ho 0.8234 0.2382 0.6469  8 Rh 2.83-3.06, 3 P 2.89-3.07
Ho 0.4787 0.7811 0.9575  5 P 2.72-2.94, 4 Rh 2.94-3.03
Ho 0.5213 0.2811 0.0425  5 P 2.72-2.94, 4 Rh 2.94-3.03

Computed properties:
Space group   No. 36
ρ   9.86 Mg/m³
Total DFT energy (no corrections)   -7.188 eV/atom
Energy of formation   -974 meV per atom
Magnetization   0.0 μB per cell